(1)
BaSm2NiO5: relaxed, PBE with a Hubbard U.

Lattice parameters (Å, degrees): 3.8380 5.9203 6.8192 115.73 106.34 90.00
Fractional positions:
O 0.0000 0.5000 0.0000
O 0.3531 0.5940 0.7062
O 0.6469 0.4060 0.2938
O 0.6469 0.8878 0.2938
O 0.3531 0.1122 0.7062
Ni 0.5000 0.5000 0.0000
Ba 0.0000 0.0000 0.0000
Sm 0.7971 0.2971 0.5942
Sm 0.2029 0.7029 0.4058

Its volume is 14.7 Å³ per atom. The uncorrected energy comes out at -63.187 eV/f.u.

---

(2)
BaNi2Sn2O7: relaxed, PBE with a Hubbard U.

Lattice parameters (Å, degrees): 4.2041 4.2040 9.1002 103.35 103.36 90.00
Fractional positions:
Ba 0.0000 0.0000 0.0000
Ni 0.2500 0.7500 0.5000
Ni 0.7500 0.2500 0.5000
Sn 0.3812 0.3811 0.7623
Sn 0.6188 0.6188 0.2377
O 0.3764 0.8764 0.7529
O 0.7385 0.7385 0.4770
O 0.1236 0.6236 0.2471
O 0.6236 0.1236 0.2471
O 0.2615 0.2615 0.5230
O 0.8764 0.3763 0.7529
O 0.5000 0.5000 0.0000

Its volume is 12.7 Å³ per atom. The uncorrected energy comes out at -69.344 eV/f.u.

---

(3)
Ba3NiSn2O9: relaxed, PBE with a Hubbard U.

Lattice parameters (Å, degrees): 5.8682 5.8682 7.2391 90.00 90.00 120.00
Fractional positions:
Ba 0.3333 0.6667 0.6577
Ba 0.0000 0.0000 0.0000
Ba 0.6667 0.3333 0.3423
Ni 0.0000 0.0000 0.5000
Sn 0.3333 0.6667 0.1678
Sn 0.6667 0.3333 0.8322
O 0.8337 0.1663 0.6654
O 0.8337 0.6673 0.6654
O 0.3327 0.1663 0.6654
O 0.6673 0.8337 0.3346
O 0.1663 0.3327 0.3346
O 0.1663 0.8337 0.3346
O 0.5000 0.0000 0.0000
O 0.0000 0.5000 0.0000
O 0.5000 0.5000 0.0000

Its volume is 14.4 Å³ per atom. The uncorrected energy comes out at -89.013 eV/f.u.

---

(4)
BaSrNi4O12: relaxed, PBE with a Hubbard U.

Lattice parameters (Å, degrees): 5.5509 5.5509 7.7916 90.00 90.00 90.00
Fractional positions:
Ba 0.5000 0.5000 0.0000
Sr 0.0000 0.0000 0.5000
Ni 0.0000 0.5000 0.7487
Ni 0.0000 0.5000 0.2513
Ni 0.5000 0.0000 0.7487
Ni 0.5000 0.0000 0.2513
O 0.2440 0.2440 0.7415
O 0.2440 0.2440 0.2585
O 0.7560 0.7560 0.7415
O 0.7560 0.7560 0.2585
O 0.7560 0.2440 0.7415
O 0.7560 0.2440 0.2585
O 0.2440 0.7560 0.2585
O 0.2440 0.7560 0.7415
O 0.0000 0.5000 0.5000
O 0.0000 0.5000 0.0000
O 0.5000 0.0000 0.5000
O 0.5000 0.0000 0.0000

Its volume is 13.3 Å³ per atom. The uncorrected energy comes out at -83.197 eV/f.u.

---

(5)
BaSrV4Ni4O16: relaxed, PBE with a Hubbard U.

Lattice parameters (Å, degrees): 8.4725 9.7627 9.7627 79.15 64.28 64.28
Fractional positions:
Ba 0.7500 0.5000 0.5000
Ba 0.2500 0.5000 0.5000
Sr 0.5000 0.0000 0.0000
Sr 0.0000 0.0000 0.0000
V 0.7959 0.8324 0.3277
V 0.4559 0.6723 0.1676
V 0.2959 0.3277 0.8324
V 0.9559 0.1676 0.6723
V 0.3717 0.6723 0.8324
V 0.8717 0.8324 0.6723
V 0.3765 0.1676 0.3277
V 0.8765 0.3277 0.1676
Ni 0.6691 0.1619 0.5000
Ni 0.8309 0.5000 0.8381
Ni 0.9180 0.6640 0.0000
Ni 0.0820 0.0000 0.3360
Ni 0.3309 0.8381 0.5000
Ni 0.1691 0.5000 0.1619
Ni 0.5820 0.3360 0.0000
Ni 0.4180 0.0000 0.6640
O 0.6633 0.9858 0.6671
O 0.8162 0.3329 0.0142
O 0.9353 0.4820 0.1639
O 0.0813 0.8361 0.5180
O 0.3162 0.0142 0.3329
O 0.1633 0.6671 0.9858
O 0.5813 0.5180 0.8361
O 0.4353 0.1639 0.4820
O 0.3509 0.3329 0.9858
O 0.8509 0.9858 0.3329
O 0.5827 0.8361 0.4820
O 0.0827 0.4820 0.8361
O 0.6696 0.6671 0.0142
O 0.1696 0.0142 0.6671
O 0.9007 0.1639 0.5180
O 0.4007 0.5180 0.1639
O 0.8760 0.8406 0.8460
O 0.0626 0.1540 0.1594
O 0.6896 0.3332 0.3400
O 0.8628 0.6600 0.6668
O 0.5626 0.1594 0.1540
O 0.3760 0.8460 0.8406
O 0.3628 0.6668 0.6600
O 0.1896 0.3400 0.3332
O 0.2834 0.1540 0.8406
O 0.7834 0.8406 0.1540
O 0.9772 0.6600 0.3332
O 0.4772 0.3332 0.6600
O 0.2780 0.8460 0.1594
O 0.7780 0.1594 0.8460
O 0.9705 0.3400 0.6668
O 0.4705 0.6668 0.3400

Its volume is 12.6 Å³ per atom. The uncorrected energy comes out at -172.507 eV/f.u.

---

(6)
Ba4Ta10NiO30: relaxed, PBE with a Hubbard U.

Lattice parameters (Å, degrees): 7.8730 10.0411 10.0411 61.87 66.92 66.92
Fractional positions:
Ba 0.4588 0.0412 0.0412
Ba 0.9496 0.0504 0.0504
Ba 0.5406 0.4594 0.4594
Ba 0.0540 0.4460 0.4460
Ta 0.1259 0.8084 0.4361
Ta 0.6296 0.8084 0.4361
Ta 0.6296 0.4361 0.8084
Ta 0.1259 0.4361 0.8084
Ta 0.9995 0.2513 0.2513
Ta 0.4979 0.2513 0.2513
Ta 0.8769 0.0574 0.6910
Ta 0.3747 0.0574 0.6910
Ta 0.8769 0.6910 0.0574
Ta 0.3747 0.6910 0.0574
Ni 0.2779 0.7221 0.7221
O 0.5655 0.0273 0.2896
O 0.1177 0.0273 0.2896
O 0.5655 0.2896 0.0273
O 0.1177 0.2896 0.0273
O 0.7273 0.2577 0.7517
O 0.2632 0.2577 0.7517
O 0.7273 0.7517 0.2577
O 0.2632 0.7517 0.2577
O 0.8856 0.2167 0.4776
O 0.4202 0.2167 0.4776
O 0.8856 0.4776 0.2167
O 0.4202 0.4776 0.2167
O 0.8393 0.9229 0.9229
O 0.3149 0.9229 0.9229
O 0.6210 0.0462 0.7119
O 0.1013 0.0955 0.7020
O 0.6210 0.7119 0.0462
O 0.1013 0.7020 0.0955
O 0.1316 0.5851 0.5851
O 0.6981 0.5851 0.5851
O 0.8706 0.8317 0.4270
O 0.3788 0.7617 0.4808
O 0.8706 0.4270 0.8317
O 0.3788 0.4808 0.7617
O 0.0349 0.8890 0.6190
O 0.4572 0.8890 0.6190
O 0.4572 0.6190 0.8890
O 0.0349 0.6190 0.8890
O 0.2317 0.2683 0.2683
O 0.7649 0.2351 0.2351

Its volume is 13.8 Å³ per atom. The uncorrected energy comes out at -406.798 eV/f.u.

---

(7)
Ba2TbNiO5: relaxed, PBE with a Hubbard U.

Lattice parameters (Å, degrees): 3.5541 7.8349 11.3068 90.00 90.00 103.11
Fractional positions:
Ba 0.8639 0.7279 0.8314
Ba 0.1122 0.2244 0.6777
Ba 0.1361 0.2721 0.3314
Ba 0.8878 0.7756 0.1777
Tb 0.8022 0.6045 0.5309
Tb 0.1978 0.3955 0.0309
Ni 0.5477 0.0955 0.9315
Ni 0.4523 0.9045 0.4315
O 0.3391 0.6782 0.0086
O 0.6712 0.3425 0.8940
O 0.4959 0.9918 0.7884
O 0.2956 0.5912 0.6582
O 0.9636 0.9273 0.5034
O 0.6609 0.3218 0.5086
O 0.3288 0.6575 0.3940
O 0.5041 0.0082 0.2884
O 0.7044 0.4088 0.1582
O 0.0364 0.0727 0.0034

Its volume is 17.0 Å³ per atom. The uncorrected energy comes out at -56.410 eV/f.u.

---

(8)
BaTb2NiO5: relaxed, PBE with a Hubbard U.

Lattice parameters (Å, degrees): 3.8052 5.8315 6.7148 115.74 106.46 90.00
Fractional positions:
O 0.0000 0.5000 0.0000
O 0.3507 0.5910 0.7014
O 0.6493 0.4090 0.2986
O 0.6493 0.8896 0.2986
O 0.3507 0.1104 0.7014
Ni 0.5000 0.5000 0.0000
Ba 0.0000 0.0000 0.0000
Tb 0.2032 0.7032 0.4063
Tb 0.7968 0.2968 0.5937

Its volume is 14.2 Å³ per atom. The uncorrected energy comes out at -63.572 eV/f.u.

---

(9)
BaTc2NiO: relaxed, PBE with a Hubbard U.

Lattice parameters (Å, degrees): 4.4093 6.5356 4.4093 90.00 90.00 90.00
Fractional positions:
Ni 0.0000 0.0000 0.0000
Ba 0.0000 0.5000 0.0000
O 0.5000 0.5000 0.5000
Tc 0.0000 0.0000 0.5000
Tc 0.5000 0.0000 0.0000

Its volume is 25.4 Å³ per atom. The uncorrected energy comes out at -23.771 eV/f.u.

---

(10)
Ba2TcNiO6: relaxed, PBE with a Hubbard U.

Lattice parameters (Å, degrees): 5.8234 5.8234 10.1089 73.26 73.26 60.00
Fractional positions:
Ba 0.8724 0.8724 0.3827
Ba 0.1276 0.1276 0.6173
Ba 0.7148 0.7148 0.8555
Ba 0.2852 0.2852 0.1445
Tc 0.0000 0.0000 0.0000
Tc 0.5000 0.5000 0.5000
Ni 0.5925 0.5925 0.2224
Ni 0.4075 0.4075 0.7776
O 0.8505 0.3861 0.3774
O 0.3861 0.8505 0.3774
O 0.3861 0.3861 0.3774
O 0.1495 0.6139 0.6226
O 0.6139 0.1495 0.6226
O 0.6139 0.6139 0.6226
O 0.7227 0.1967 0.8839
O 0.1967 0.7227 0.8839
O 0.1967 0.1967 0.8839
O 0.2773 0.8033 0.1161
O 0.8033 0.2773 0.1161
O 0.8033 0.8033 0.1161

Its volume is 14.0 Å³ per atom. The uncorrected energy comes out at -66.050 eV/f.u.

---

(11)
BaTc2NiO8: relaxed, PBE with a Hubbard U.

Lattice parameters (Å, degrees): 5.7290 5.7290 7.2808 90.00 90.00 120.00
Fractional positions:
Ba 0.0000 0.0000 0.0000
Tc 0.6667 0.3333 0.2540
Tc 0.3333 0.6667 0.7460
Ni 0.0000 0.0000 0.5000
O 0.3333 0.6667 0.9904
O 0.3195 0.1661 0.3213
O 0.8339 0.1535 0.3213
O 0.6667 0.3333 0.0096
O 0.1661 0.8465 0.6787
O 0.6805 0.8339 0.6787
O 0.1535 0.3195 0.6787
O 0.8465 0.6805 0.3213

Its volume is 17.2 Å³ per atom. The uncorrected energy comes out at -83.915 eV/f.u.

---

(12)
BaNiTeO6: relaxed, PBE with a Hubbard U.

Lattice parameters (Å, degrees): 5.1082 5.1083 5.8968 90.00 90.00 60.00
Fractional positions:
Ba 0.0000 0.0000 0.0000
Ni 0.6667 0.6667 0.5000
Te 0.3333 0.3333 0.5000
O 0.9919 0.3879 0.3148
O 0.3879 0.9919 0.6852
O 0.6201 0.3880 0.6852
O 0.9919 0.6202 0.6852
O 0.3879 0.6201 0.3148
O 0.6201 0.9919 0.3148

Its volume is 14.8 Å³ per atom. The uncorrected energy comes out at -49.636 eV/f.u.

---

(13)
BaNiTe2O8: relaxed, PBE with a Hubbard U.

Lattice parameters (Å, degrees): 5.1940 5.1794 6.4660 90.00 90.00 83.93
Fractional positions:
Ba 0.0000 0.0000 0.5000
Ni 0.0000 0.0000 0.0000
Te 0.5000 0.5000 0.7627
Te 0.5000 0.5000 0.2373
O 0.2114 0.7505 0.2147
O 0.6627 0.6958 0.0000
O 0.7886 0.2494 0.2147
O 0.7886 0.2495 0.7853
O 0.3373 0.3042 0.0000
O 0.2114 0.7506 0.7853
O 0.6390 0.6770 0.5000
O 0.3610 0.3230 0.5000

Its volume is 14.4 Å³ per atom. The uncorrected energy comes out at -63.595 eV/f.u.

---

(14)
Ba3NiTe2O8: relaxed, PBE with a Hubbard U.

Lattice parameters (Å, degrees): 5.9492 5.9492 7.9847 90.00 90.00 120.00
Fractional positions:
Ba 0.3333 0.6667 0.6333
Ba 0.6667 0.3333 0.3667
Ba 0.0000 0.0000 0.0000
Ni 0.0000 0.0000 0.5000
Te 0.3333 0.6667 0.2045
Te 0.6667 0.3333 0.7955
O 0.3333 0.6667 0.9465
O 0.6667 0.3333 0.0535
O 0.1630 0.8370 0.3317
O 0.8370 0.1630 0.6683
O 0.1630 0.3261 0.3317
O 0.8370 0.6739 0.6683
O 0.6739 0.8370 0.3317
O 0.3261 0.1630 0.6683

Its volume is 17.5 Å³ per atom. The uncorrected energy comes out at -77.001 eV/f.u.

---

(15)
Ba2NiTe2O6: relaxed, PBE with a Hubbard U.

Lattice parameters (Å, degrees): 6.2953 6.2953 6.7382 62.15 62.15 60.00
Fractional positions:
Ba 0.7925 0.7925 0.6224
Ba 0.2075 0.2075 0.3776
Ni 0.0000 0.0000 0.0000
Te 0.4093 0.4093 0.7721
Te 0.5907 0.5907 0.2279
O 0.7648 0.7648 0.2589
O 0.2116 0.7648 0.2589
O 0.7648 0.2116 0.2589
O 0.2352 0.7884 0.7411
O 0.7884 0.2352 0.7411
O 0.2352 0.2352 0.7411

Its volume is 17.7 Å³ per atom. The uncorrected energy comes out at -58.397 eV/f.u.

---

(16)
Ba2Tl2Zn2Ni3O10: relaxed, PBE with a Hubbard U.

Lattice parameters (Å, degrees): 3.6049 3.6571 21.2748 94.92 94.86 90.00
Fractional positions:
Ni 0.5822 0.6357 0.1677
Ni 0.4153 0.4686 0.8323
Ni 0.4977 0.5520 0.9976
Zn 0.0421 0.0963 0.0870
Zn 0.9556 0.0098 0.9133
Tl 0.2784 0.3313 0.5589
Tl 0.7198 0.7730 0.4422
O 0.1036 0.6573 0.2105
O 0.6709 0.7243 0.3449
O 0.5643 0.1178 0.1315
O 0.2274 0.2805 0.4573
O 0.4787 0.0331 0.9596
O 0.3950 0.9484 0.7914
O 0.3274 0.3799 0.6564
O 0.9348 0.4888 0.8713
O 0.7707 0.8238 0.5440
O 0.0203 0.5743 0.0428
Ba 0.8519 0.9044 0.7053
Ba 0.1460 0.1994 0.2949

Its volume is 14.7 Å³ per atom. The uncorrected energy comes out at -91.996 eV/f.u.